Computed, not measured: a relaxed structure of SmPu2ZrAs4 at the PBE level of DFT.

Results
Fermi-level density of states: 21.0 states/eV/cell
formation enthalpy at 0 K: -9.50 eV per formula unit
crystal system: monoclinic
density: 8.9 g cm⁻³
calculated total energy: -0.32169 Ha/atom
V: 192.6 Å³/cell
spin magnetization: 10.40 μB per cell

Unit cell a=4.0819 b=7.0996 c=7.0463 alpha=109.36 beta=90.00 gamma=90.00
Site moments in Bohr magnetons follow the coordinates.
Element x y z (fractional)
Sm 0.5000 0.5000 0.0000  0.00
Pu 0.5000 0.0000 0.5000  5.03
Pu 0.0000 0.5000 0.5000  5.17
Zr 0.0000 0.0000 0.0000  0.07
As 0.5000 0.2365 0.2421  -0.07
As 0.5000 0.7635 0.7579  -0.07
As 0.0000 0.2384 0.7506  -0.08
As 0.0000 0.7616 0.2494  -0.08